--- w ---
First-principles (PBE) data for crystalline CrCuRh3 at its relaxed geometry, as listed in Alexandria via LeMat-Bulk.

The structure in POSCAR format:
```
CrCuRh3
1.0
-1.777 -3.015 2.709
3.891 -2.098 0.216
1.137 2.469 3.493
Cr Rh Cu
1 3 1
direct
0.000 0.000 0.000
0.000 0.500 0.000
0.000 0.000 0.500
0.500 0.000 0.000
0.500 0.500 0.500
```

Values from the calculation:
For the magnetic moment, the calculation gives 0.00 μB per formula unit. Its space-group type is Pm-3m, No. 221. The density of states at the Fermi level comes out at 3.65 states/eV/f.u.

=====

--- x ---
First-principles (PBE) data for crystalline CrCuRh3 at its relaxed geometry, as listed in Alexandria via LeMat-Bulk.

The structure in POSCAR format:
```
CrCuRh3
1.0
4.266 0.000 0.000
0.000 4.285 -1.925
0.000 0.538 7.048
Cr Cu Rh
2 2 6
direct
0.015 0.617 0.495
0.515 0.151 0.888
0.515 0.750 0.090
0.015 0.018 0.294
0.515 0.552 0.698
0.515 0.933 0.484
0.015 0.216 0.686
0.015 0.432 0.096
0.015 0.835 0.900
0.515 0.336 0.287
```

Values from the calculation:
For the magnetic moment, the calculation gives 0.28 μB per formula unit. Its space-group type is P2_1/m, No. 11. The density of states at the Fermi level comes out at 6.55 states/eV/f.u.

=====

Quick ranking, most stable first: x, w.

=====

--- w ---
First-principles (PBE) data for crystalline CrCu2Rh2 at its relaxed geometry, as listed in Alexandria via LeMat-Bulk.

The structure in POSCAR format:
```
CrCu2Rh2
1.0
3.216 0.000 0.000
0.000 3.216 0.000
-1.608 -1.608 6.864
Cr Cu Rh
1 2 2
direct
0.000 0.000 0.000
0.750 0.250 0.500
0.250 0.750 0.500
0.402 0.402 0.805
0.598 0.598 0.195
```

Values from the calculation:
For the magnetic moment, the calculation gives 2.24 μB per formula unit. Its space-group type is I4/mmm, No. 139. The density of states at the Fermi level comes out at 4.92 states/eV/f.u.

=====

--- x ---
First-principles (PBE) data for crystalline CrCu2Rh2 at its relaxed geometry, as listed in Alexandria via LeMat-Bulk.

The structure in POSCAR format:
```
CrCu2Rh2
1.0
6.779 0.000 0.000
0.000 6.779 0.000
0.000 0.000 2.910
Cr Rh Cu
2 4 4
direct
0.000 0.000 0.000
0.500 0.500 0.000
0.170 0.670 0.500
0.670 0.830 0.500
0.830 0.330 0.500
0.330 0.170 0.500
0.371 0.871 0.000
0.871 0.629 0.000
0.629 0.129 0.000
0.129 0.371 0.000
```

Values from the calculation:
For the magnetic moment, the calculation gives 0.00 μB per formula unit. Its space-group type is P4/mbm, No. 127. The density of states at the Fermi level comes out at 10.92 states/eV/f.u.

=====

Quick ranking, most stable first: w, x.

=====

--- w ---
First-principles (PBE) data for crystalline CrCuRh4 at its relaxed geometry, as listed in Alexandria via LeMat-Bulk.

The structure in POSCAR format:
```
CrCuRh4
1.0
0.000 3.593 3.593
3.593 0.000 3.593
3.593 3.593 0.000
Cr Cu Rh
1 1 4
direct
0.250 0.250 0.250
0.000 0.000 0.000
0.625 0.625 0.125
0.625 0.125 0.625
0.625 0.625 0.625
0.125 0.625 0.625
```

Values from the calculation:
For the magnetic moment, the calculation gives 1.49 μB per formula unit. Its space-group type is F-43m, No. 216. The density of states at the Fermi level comes out at 10.45 states/eV/f.u.

=====

--- x ---
First-principles (PBE) data for crystalline CrCuRh4 at its relaxed geometry, as listed in Alexandria via LeMat-Bulk.

The structure in POSCAR format:
```
CrCuRh4
1.0
2.697 0.000 0.000
0.000 2.697 0.000
0.000 0.001 11.152
Cr Cu Rh
1 1 4
direct
0.500 0.000 0.500
0.000 0.500 0.000
0.000 0.500 0.343
0.500 0.000 0.164
0.000 0.500 0.657
0.500 0.000 0.836
```

Values from the calculation:
For the magnetic moment, the calculation gives 0.03 μB per formula unit. Its space-group type is P4/mmm, No. 123. The density of states at the Fermi level comes out at 9.47 states/eV/f.u.

=====

Quick ranking, most stable first: x, w.

=====

--- w ---
First-principles (PBE) data for crystalline CrCu2Ru2 at its relaxed geometry, as listed in Alexandria via LeMat-Bulk.

The structure in POSCAR format:
```
CrCu2Ru2
1.0
3.184 0.000 0.000
0.000 3.184 0.000
1.592 1.592 6.827
Ru Cu Cr
2 2 1
direct
0.404 0.404 0.191
0.596 0.596 0.809
0.750 0.250 0.500
0.250 0.750 0.500
0.000 0.000 0.000
```

Values from the calculation:
For the magnetic moment, the calculation gives 0.68 μB per formula unit. Its space-group type is I4/mmm, No. 139. The density of states at the Fermi level comes out at 5.79 states/eV/f.u.

=====

--- x ---
First-principles (PBE) data for crystalline CrCu2Ru2 at its relaxed geometry, as listed in Alexandria via LeMat-Bulk.

The structure in POSCAR format:
```
CrCu2Ru2
1.0
6.042 0.000 0.000
0.000 6.042 0.000
0.000 0.000 3.926
Ru Cu Cr
4 4 2
direct
0.356 0.856 0.000
0.856 0.644 0.000
0.644 0.144 0.000
0.144 0.356 0.000
0.157 0.657 0.500
0.657 0.843 0.500
0.843 0.343 0.500
0.343 0.157 0.500
0.000 0.000 0.000
0.500 0.500 0.000
```

Values from the calculation:
For the magnetic moment, the calculation gives 0.00 μB per formula unit. Its space-group type is P4/mbm, No. 127. The density of states at the Fermi level comes out at 5.92 states/eV/f.u.

=====

Quick ranking, most stable first: w, x.

=====

--- w ---
First-principles (PBE) data for crystalline CrCuRu at its relaxed geometry, as listed in Alexandria via LeMat-Bulk.

The structure in POSCAR format:
```
CrCuRu
1.0
4.493 -0.001 0.006
2.223 3.904 -0.006
-3.019 -2.535 2.156
Cr Cu Ru
1 1 1
direct
0.001 0.001 0.000
0.334 0.334 0.000
0.665 0.665 0.000
```

Values from the calculation:
For the magnetic moment, the calculation gives 0.00 μB per formula unit. Its space-group type is Imm2, No. 44. The density of states at the Fermi level comes out at 2.64 states/eV/f.u.

=====

--- x ---
First-principles (PBE) data for crystalline CrCuRu at its relaxed geometry, as listed in Alexandria via LeMat-Bulk.

The structure in POSCAR format:
```
CrCuRu
1.0
-0.535 -1.046 4.087
-2.187 -2.537 2.620
1.234 -10.541 9.323
Cu Ru Cr
2 2 2
direct
0.125 0.125 0.077
0.628 0.628 0.230
0.595 0.595 0.437
0.158 0.158 0.870
0.129 0.129 0.571
0.624 0.624 0.736
```

Values from the calculation:
For the magnetic moment, the calculation gives 0.00 μB per formula unit. Its space-group type is C2/m, No. 12. The density of states at the Fermi level comes out at 3.78 states/eV/f.u.

=====

Quick ranking, most stable first: w, x.

=====

--- w ---
First-principles (PBE) data for crystalline CrCuRu at its relaxed geometry, as listed in Alexandria via LeMat-Bulk.

The structure in POSCAR format:
```
CrCuRu
1.0
-1.323 -2.586 2.716
0.578 -3.899 -0.520
2.582 -1.952 2.310
Cr Cu Ru
1 1 1
direct
0.750 0.750 0.750
0.000 0.000 0.000
0.500 0.500 0.500
```

Values from the calculation:
For the magnetic moment, the calculation gives 1.36 μB per formula unit. Its space-group type is F-43m, No. 216. The density of states at the Fermi level comes out at 2.74 states/eV/f.u.

=====

--- x ---
First-principles (PBE) data for crystalline CrCuRu at its relaxed geometry, as listed in Alexandria via LeMat-Bulk.

The structure in POSCAR format:
```
CrCuRu
1.0
4.669 -0.322 0.000
2.959 3.625 0.000
-3.814 -1.651 2.151
Cr Cu Ru
1 1 1
direct
0.004 0.004 0.000
0.339 0.339 0.000
0.658 0.658 0.000
```

Values from the calculation:
For the magnetic moment, the calculation gives 1.06 μB per formula unit. Its space-group type is I4mm, No. 107. The density of states at the Fermi level comes out at 1.61 states/eV/f.u.

=====

Quick ranking, most stable first: x, w.

=====

--- w ---
First-principles (PBE) data for crystalline Cr3CuS at its relaxed geometry, as listed in Alexandria via LeMat-Bulk.

The structure in POSCAR format:
```
Cr3CuS
1.0
4.128 0.000 0.000
0.000 4.128 0.000
0.000 0.000 4.128
Cr S Cu
3 1 1
direct
0.000 0.500 0.000
0.000 0.000 0.500
0.500 0.000 0.000
0.000 0.000 0.000
0.500 0.500 0.500
```

Values from the calculation:
For the magnetic moment, the calculation gives 0.87 μB per formula unit. Its space-group type is Pm-3m, No. 221. The density of states at the Fermi level comes out at 8.75 states/eV/f.u.

=====

--- x ---
First-principles (PBE) data for crystalline Cr3CuS at its relaxed geometry, as listed in Alexandria via LeMat-Bulk.

The structure in POSCAR format:
```
Cr3CuS
1.0
4.632 0.000 0.000
0.000 4.632 0.000
0.000 0.000 4.632
Cr S Cu
3 1 1
direct
0.000 0.500 0.000
0.000 0.000 0.500
0.500 0.000 0.000
0.500 0.500 0.500
0.000 0.000 0.000
```

Values from the calculation:
For the magnetic moment, the calculation gives 12.15 μB per formula unit. Its space-group type is Pm-3m, No. 221. The density of states at the Fermi level comes out at 9.88 states/eV/f.u.

=====

Quick ranking, most stable first: w, x.

=====

--- w ---
First-principles (PBE) data for crystalline Cr2CuS4 at its relaxed geometry, as listed in Alexandria via LeMat-Bulk.

The structure in POSCAR format:
```
Cr2CuS4
1.0
3.444 0.000 0.000
0.000 11.195 0.000
0.000 0.000 11.984
Cr Cu S
8 4 16
direct
0.250 0.110 0.074
0.750 0.890 0.926
0.750 0.390 0.574
0.250 0.610 0.426
0.250 0.145 0.703
0.750 0.855 0.297
0.750 0.355 0.203
0.250 0.645 0.797
0.750 0.114 0.451
0.250 0.886 0.549
0.250 0.386 0.951
0.750 0.614 0.049
0.750 0.017 0.626
0.250 0.983 0.374
0.250 0.483 0.126
0.750 0.517 0.874
0.250 0.030 0.882
0.750 0.970 0.118
0.750 0.470 0.382
0.250 0.530 0.618
0.250 0.221 0.244
0.750 0.779 0.756
0.750 0.279 0.744
0.250 0.721 0.256
0.750 0.253 0.026
0.250 0.747 0.974
0.250 0.247 0.526
0.750 0.753 0.474
```

Values from the calculation:
For the magnetic moment, the calculation gives 5.05 μB per formula unit. Its space-group type is Pnma, No. 62. The density of states at the Fermi level comes out at 3.91 states/eV/f.u.

=====

--- x ---
First-principles (PBE) data for crystalline Cr2CuS4 at its relaxed geometry, as listed in Alexandria via LeMat-Bulk.

The structure in POSCAR format:
```
Cr2CuS4
1.0
-3.435 0.489 0.121
-0.686 -3.799 -4.151
-0.505 -4.489 3.812
Cr Cu S
2 1 4
direct
0.500 0.000 0.000
0.000 0.000 0.500
0.000 0.500 0.500
0.000 0.231 0.826
0.500 0.240 0.325
0.500 0.760 0.675
0.000 0.769 0.174
```

Values from the calculation:
For the magnetic moment, the calculation gives 5.07 μB per formula unit. Its space-group type is P2/m, No. 10. The density of states at the Fermi level comes out at 3.89 states/eV/f.u.

=====

--- y ---
First-principles (PBE) data for crystalline Cr2CuS4 at its relaxed geometry, as listed in Alexandria via LeMat-Bulk.

The structure in POSCAR format:
```
Cr2CuS4
1.0
5.926 0.000 0.000
0.000 6.859 0.000
0.000 0.000 12.047
Cr Cu S
8 4 16
direct
0.001 0.000 0.242
0.001 0.000 0.758
0.999 0.500 0.258
0.999 0.500 0.742
0.500 0.250 0.250
0.500 0.750 0.750
0.500 0.750 0.250
0.500 0.250 0.750
0.390 0.000 0.000
0.610 0.500 0.500
0.040 0.000 0.500
0.960 0.500 0.000
0.833 0.250 0.364
0.833 0.750 0.636
0.167 0.750 0.136
0.167 0.250 0.864
0.167 0.250 0.136
0.167 0.750 0.864
0.833 0.750 0.364
0.833 0.250 0.636
0.656 0.000 0.141
0.656 0.000 0.859
0.344 0.500 0.359
0.344 0.500 0.641
0.323 0.000 0.358
0.323 0.000 0.642
0.677 0.500 0.142
0.677 0.500 0.858
```

Values from the calculation:
For the magnetic moment, the calculation gives 5.05 μB per formula unit. Its space-group type is Pmmn, No. 59. The density of states at the Fermi level comes out at 4.53 states/eV/f.u.

=====

--- z ---
First-principles (PBE) data for crystalline Cr2CuS4 at its relaxed geometry, as listed in Alexandria via LeMat-Bulk.

The structure in POSCAR format:
```
Cr2CuS4
1.0
-2.315 2.794 5.362
-0.001 0.620 6.445
3.116 4.309 1.996
Cr Cu S
2 1 4
direct
0.756 0.756 0.191
0.244 0.244 0.809
0.500 0.500 0.500
0.383 0.383 0.960
0.617 0.617 0.040
0.853 0.853 0.486
0.147 0.147 0.514
```

Values from the calculation:
For the magnetic moment, the calculation gives 2.48 μB per formula unit. Its space-group type is C2/m, No. 12. The density of states at the Fermi level comes out at 4.13 states/eV/f.u.

=====

Quick ranking, most stable first: x, z, y, w.

=====

--- w ---
First-principles (PBE) data for crystalline Cr2CuS4 at its relaxed geometry, as listed in Alexandria via LeMat-Bulk.

The structure in POSCAR format:
```
Cr2CuS4
1.0
6.237 0.004 -0.023
-0.042 7.194 -0.001
-1.028 -1.700 12.324
Cr Cu S
8 4 16
direct
0.848 0.301 0.717
0.152 0.699 0.283
0.756 0.122 0.999
0.244 0.878 0.001
0.631 0.445 0.281
0.369 0.555 0.719
0.625 0.946 0.285
0.375 0.054 0.715
0.881 0.801 0.718
0.119 0.199 0.282
0.750 0.626 0.999
0.250 0.374 0.001
0.895 0.346 0.894
0.105 0.654 0.106
0.902 0.852 0.903
0.098 0.148 0.097
0.797 0.214 0.356
0.203 0.786 0.644
0.822 0.711 0.349
0.178 0.289 0.651
0.691 0.032 0.644
0.309 0.968 0.356
0.686 0.537 0.647
0.314 0.463 0.353
0.597 0.905 0.103
0.403 0.095 0.897
0.609 0.398 0.102
0.391 0.602 0.898
```

Values from the calculation:
For the magnetic moment, the calculation gives 5.00 μB per formula unit. Its space-group type is P-1, No. 2. The density of states at the Fermi level comes out at 2.46 states/eV/f.u.

=====

--- x ---
First-principles (PBE) data for crystalline Cr2CuS4 at its relaxed geometry, as listed in Alexandria via LeMat-Bulk.

The structure in POSCAR format:
```
Cr2CuS4
1.0
-2.759 -0.202 2.093
6.618 -2.327 8.499
1.053 12.471 2.594
Cr Cu S
8 4 16
direct
0.250 0.563 0.615
0.750 0.437 0.385
0.750 0.937 0.115
0.250 0.063 0.885
0.250 0.578 0.109
0.750 0.422 0.891
0.750 0.922 0.609
0.250 0.078 0.391
0.250 0.773 0.975
0.750 0.227 0.025
0.750 0.727 0.475
0.250 0.273 0.525
0.750 0.526 0.216
0.250 0.474 0.784
0.250 0.974 0.716
0.750 0.026 0.284
0.250 0.589 0.428
0.750 0.411 0.572
0.750 0.911 0.928
0.250 0.089 0.072
0.750 0.616 0.975
0.250 0.384 0.025
0.250 0.884 0.475
0.750 0.116 0.525
0.750 0.702 0.656
0.250 0.298 0.344
0.250 0.798 0.156
0.750 0.202 0.844
```

Values from the calculation:
For the magnetic moment, the calculation gives 5.02 μB per formula unit. Its space-group type is Pnma, No. 62. The density of states at the Fermi level comes out at 2.67 states/eV/f.u.

=====

Quick ranking, most stable first: x, w.